# Ru2W3 (PBE-GGA, optimized geometry)
# Fermi-level density of states	8.5	states/eV/cell
# polymorph energy (0 for the lowest one)	138	meV per atom
# ΔE_f	0.181	eV per atom
# SG	Fdd2, No. 43
data_Ru2W3
_chemical_formula_sum 'Ru4 W6'
_cell_length_a 8.1692
_cell_length_b 7.1161
_cell_length_c 5.3139
_cell_angle_alpha 80.76
_cell_angle_beta 59.29
_cell_angle_gamma 39.94
_space_group_name_H-M_alt 'P 1'
_space_group_IT_number 1
loop_
_space_group_symop_operation_xyz
'x,y,z'
loop_
_atom_site_label
_atom_site_type_symbol
_atom_site_fract_x
_atom_site_fract_y
_atom_site_fract_z
Ru1 Ru 0.2088 0.8940 0.3503
Ru2 Ru 0.5469 0.3503 0.8940
Ru3 Ru 0.3560 0.0412 0.7031
Ru4 Ru 0.8997 0.7031 0.0412
W1 W 0.7477 0.4589 0.3659
W2 W 0.4275 0.3659 0.4589
W3 W 0.7911 0.5023 0.8225
W4 W 0.8841 0.8225 0.5023
W5 W 0.0691 0.9309 0.9309
W6 W 0.3191 0.1809 0.1809